Entry 1:
DFT (PBEsol) results for a relaxed structure of Li2CuPt.

Output
- space-group type = I4/mmm
- distance to the lowest polymorph of the same formula (kJ/mol of atoms) = 1.8
- N(E_F) (states/eV/cell) = 2.84
- VASP energy (eV per atom) = -4.119

POSCAR file:
```
Li2CuPt
1.0
3.6559 0.0000 0.0000
0.0000 3.6559 0.0000
0.0000 0.0000 7.5107
Li Cu Pt
4 2 2
direct
0.0000 0.5000 0.2500 Li
0.0000 0.5000 0.7500 Li
0.5000 0.0000 0.2500 Li
0.5000 0.0000 0.7500 Li
0.0000 0.0000 0.0000 Cu
0.5000 0.5000 0.5000 Cu
0.0000 0.0000 0.5000 Pt
0.5000 0.5000 0.0000 Pt
```

---

Entry 2:
DFT (PBEsol) results for a relaxed structure of RbTlN2O.

Output
- space-group type = P4/mmm
- N(E_F) (states/eV/cell) = 3.11
- VASP energy (eV per atom) = -4.118

POSCAR file:
```
RbTlN2O
1.0
4.5084 0.0000 0.0000
0.0000 4.5084 0.0000
0.0000 0.0000 4.4006
Rb Tl N O
1 1 2 1
direct
0.0000 0.0000 0.0000 Rb
0.5000 0.5000 0.5000 Tl
0.0000 0.5000 0.5000 N
0.5000 0.0000 0.5000 N
0.5000 0.5000 0.0000 O
```